*a*
# Ac2Zn3Ga5, optimized geometry, DFT GGA-PBE
data_Ac2Zn3Ga5
_symmetry_space_group_name_H-M 'P 1'
_symmetry_Int_Tables_number 1
_cell_length_a 8.8547
_cell_length_b 8.8547
_cell_length_c 8.8547
_cell_angle_alpha 106.12
_cell_angle_beta 88.64
_cell_angle_gamma 138.24
loop_
_symmetry_equiv_pos_as_xyz
'x,y,z'
loop_
_atom_site_label
_atom_site_fract_x
_atom_site_fract_y
_atom_site_fract_z
Ac1 0.1253 0.2488 0.3741
Ac2 0.3747 0.7488 0.1235
Ac3 0.6253 0.2512 0.8765
Ac4 0.8747 0.7512 0.6259
Zn1 0.1258 0.8719 0.9977
Zn2 0.2500 0.7500 0.5000
Zn3 0.3742 0.3719 0.7461
Zn4 0.6258 0.6281 0.2539
Zn5 0.7500 0.2500 0.5000
Zn6 0.8742 0.1281 0.0023
Ga1 0.0022 0.7500 0.2522
Ga2 0.1214 0.6335 0.7549
Ga3 0.2500 0.2500 0.0000
Ga4 0.3786 0.1335 0.5121
Ga5 0.4978 0.7500 0.7478
Ga6 0.5022 0.2500 0.2522
Ga7 0.6214 0.8665 0.4879
Ga8 0.7500 0.7500 0.0000
Ga9 0.8786 0.3665 0.2451
Ga10 0.9978 0.2500 0.7478
# Total magnetization   0.00 μB/f.u.
# Space group   No. 72



*b*
# Ac2Zn3Ga5, optimized geometry, DFT GGA-PBE
data_Ac2Zn3Ga5
_symmetry_space_group_name_H-M 'P 1'
_symmetry_Int_Tables_number 1
_cell_length_a 4.4969
_cell_length_b 4.4969
_cell_length_c 10.5676
_cell_angle_alpha 90.00
_cell_angle_beta 90.00
_cell_angle_gamma 90.00
loop_
_symmetry_equiv_pos_as_xyz
'x,y,z'
loop_
_atom_site_label
_atom_site_fract_x
_atom_site_fract_y
_atom_site_fract_z
Ac1 0.0000 0.5000 0.2468
Ac2 0.5000 0.0000 0.7532
Zn1 0.0000 0.0000 0.0000
Zn2 0.0000 0.5000 0.8766
Zn3 0.5000 0.0000 0.1234
Ga1 0.0000 0.0000 0.5000
Ga2 0.0000 0.5000 0.6370
Ga3 0.5000 0.0000 0.3630
Ga4 0.5000 0.5000 0.0000
Ga5 0.5000 0.5000 0.5000
# Total magnetization   0.00 μB/f.u.
# Space group   No. 115



Which one sits at the top of the stability order? *a* does.